1.
A geometry-optimized Al2InTc structure. Source: Alexandria via LeMat-Bulk, functional PBE-GGA.

a b c (Å): 4.6157 2.9968 4.8567
angles (deg): 90.01 90.00 90.00
Last column: magnetic moment on the atom in μB.
Element x y z (fractional)
Al (0.0000, 0.8750, 0.0245)  0.00
Al (0.5000, 0.3752, 0.1982)  -0.01
Tc (0.5000, 0.8749, 0.7425)  0.66
In (0.0000, 0.3748, 0.5348)  -0.01

Values from the calculation:
Energy of formation, kJ per mole of atoms: 1.06
Space group: No. 25

=====

2.
A geometry-optimized Rb5Eu3F12 structure. Source: Alexandria via LeMat-Bulk, functional PBE-GGA.

a b c (Å): 13.0533 13.0533 13.0533
angles (deg): 109.47 109.47 109.47
Last column: magnetic moment on the atom in μB.
Element x y z (fractional)
Eu (0.7500, 0.3750, 0.1250)  6.61
Eu (0.8750, 0.7500, 0.1250)  6.61
Eu (0.3750, 0.7500, 0.6250)  6.61
Eu (0.2500, 0.1250, 0.3750)  6.61
Eu (0.8750, 0.1250, 0.2500)  6.61
Eu (0.3750, 0.6250, 0.2500)  6.61
Eu (0.6250, 0.3750, 0.7500)  6.61
Eu (0.1250, 0.8750, 0.7500)  6.61
Eu (0.7500, 0.8750, 0.6250)  6.61
Eu (0.6250, 0.2500, 0.3750)  6.61
Eu (0.1250, 0.2500, 0.8750)  6.61
Eu (0.2500, 0.6250, 0.8750)  6.61
Rb (0.1250, 0.3750, 0.2500)  0.00
Rb (0.0000, 0.5000, 0.0000)  0.00
Rb (0.0000, 0.0000, 0.0000)  0.00
Rb (0.3750, 0.2500, 0.1250)  0.00
Rb (0.5000, 0.0000, 0.5000)  0.00
Rb (0.5000, 0.5000, 0.0000)  0.00
Rb (0.1250, 0.7500, 0.3750)  0.00
Rb (0.7500, 0.1250, 0.8750)  0.00
Rb (0.7500, 0.6250, 0.3750)  0.00
Rb (0.3750, 0.1250, 0.7500)  0.00
Rb (0.6250, 0.8750, 0.2500)  0.00
Rb (0.5000, 0.5000, 0.5000)  0.00
Rb (0.5000, 0.0000, 0.0000)  0.00
Rb (0.0000, 0.0000, 0.5000)  0.00
Rb (0.2500, 0.3750, 0.6250)  0.00
Rb (0.2500, 0.8750, 0.1250)  0.00
Rb (0.0000, 0.5000, 0.5000)  0.00
Rb (0.8750, 0.2500, 0.6250)  0.00
Rb (0.6250, 0.7500, 0.8750)  0.00
Rb (0.8750, 0.6250, 0.7500)  0.00
F (0.7481, 0.1339, 0.0764)  -0.01
F (0.3284, 0.5764, 0.4425)  -0.01
F (0.9236, 0.3661, 0.2519)  -0.01
F (0.5764, 0.2481, 0.1339)  -0.01
F (0.6142, 0.7481, 0.6716)  -0.01
F (0.9236, 0.5575, 0.1716)  -0.01
F (0.3284, 0.7519, 0.3858)  -0.01
F (0.0575, 0.8858, 0.1339)  -0.01
F (0.5575, 0.9236, 0.6716)  -0.01
F (0.7481, 0.6142, 0.1716)  -0.01
F (0.7519, 0.4236, 0.3661)  -0.01
F (0.8284, 0.9425, 0.0764)  -0.01
F (0.1339, 0.7481, 0.5764)  -0.01
F (0.3661, 0.4425, 0.1142)  -0.01
F (0.1142, 0.9425, 0.3661)  -0.01
F (0.3858, 0.1339, 0.5575)  -0.01
F (0.1142, 0.1716, 0.2481)  -0.01
F (0.4236, 0.6716, 0.0575)  -0.01
F (0.8284, 0.8858, 0.2519)  -0.01
F (0.1339, 0.3858, 0.0575)  -0.01
F (0.3661, 0.9236, 0.7519)  -0.01
F (0.5575, 0.6339, 0.3858)  -0.01
F (0.9425, 0.8284, 0.5764)  -0.01
F (0.7519, 0.3284, 0.8858)  -0.01
F (0.4425, 0.3661, 0.6142)  -0.01
F (0.0575, 0.1716, 0.4236)  -0.01
F (0.2481, 0.6716, 0.1142)  -0.01
F (0.1716, 0.1142, 0.7481)  -0.01
F (0.6339, 0.0764, 0.2481)  -0.01
F (0.8661, 0.6142, 0.9425)  -0.01
F (0.5764, 0.3284, 0.9425)  -0.01
F (0.6142, 0.8661, 0.4425)  -0.01
F (0.8858, 0.8284, 0.7519)  -0.01
F (0.8858, 0.0575, 0.6339)  -0.01
F (0.8661, 0.2519, 0.4236)  -0.01
F (0.1716, 0.0575, 0.9236)  -0.01
F (0.6339, 0.5575, 0.8858)  -0.01
F (0.4425, 0.0764, 0.3284)  -0.01
F (0.2519, 0.3858, 0.8284)  -0.01
F (0.2481, 0.5764, 0.6339)  -0.01
F (0.9425, 0.1142, 0.8661)  -0.01
F (0.6716, 0.2481, 0.6142)  -0.01
F (0.4236, 0.7519, 0.8661)  -0.01
F (0.0764, 0.4425, 0.8284)  -0.01
F (0.3858, 0.2519, 0.3284)  -0.01
F (0.0764, 0.6339, 0.7481)  -0.01
F (0.6716, 0.4236, 0.5575)  -0.01
F (0.2519, 0.8661, 0.9236)  -0.01

Values from the calculation:
ΔE_f (raw), meV per atom: -3082
Space group: No. 230